#w
Compound: KMgTaPt
Source: OQMD
Functional: PBE
Structure: relaxed

Unit cell a=4.7567 b=4.7567 c=4.7567 alpha=60.00 beta=60.00 gamma=60.00
With the nearest neighbours (Å) after each atom.
Element x y z (fractional)
K (0.0000, 0.0000, 0.0000)  4 Ta 2.91, 4 Mg 2.91
Mg (0.7500, 0.7500, 0.7500)  4 Pt 2.91, 4 K 2.91
Pt (0.5000, 0.5000, 0.5000)  4 Ta 2.91, 4 Mg 2.91
Ta (0.2500, 0.2500, 0.2500)  4 Pt 2.91, 4 K 2.91

Properties
- space group = F-43m (216)

---

#x
Compound: KMgTaPt
Source: OQMD
Functional: PBE
Structure: relaxed

Unit cell a=4.9466 b=4.9466 c=4.9466 alpha=60.00 beta=60.00 gamma=60.00
With the nearest neighbours (Å) after each atom.
Element x y z (fractional)
K (0.2500, 0.2500, 0.2500)  4 Ta 3.03, 4 Pt 3.03
Mg (0.7500, 0.7500, 0.7500)  4 Pt 3.03, 4 Ta 3.03
Pt (0.5000, 0.5000, 0.5000)  4 Mg 3.03, 4 K 3.03
Ta (0.0000, 0.0000, 0.0000)  4 Mg 3.03, 4 K 3.03

Properties
- space group = F-43m (216)

---

Tell me which of them is the most stable. Sure, it is #w.

---

#w
Compound: KSmMgS3
Source: OQMD
Functional: PBE
Structure: relaxed

Unit cell a=11.0331 b=4.1460 c=14.2896 alpha=90.00 beta=90.00 gamma=90.00
With the nearest neighbours (Å) after each atom.
Element x y z (fractional)
K (0.2234, 0.7500, 0.0067)  7 S 3.34-3.48
K (0.7234, 0.7500, 0.4933)  7 S 3.34-3.48
K (0.2766, 0.2500, 0.5067)  7 S 3.34-3.48
K (0.7766, 0.2500, 0.9933)  7 S 3.34-3.48
Mg (0.7650, 0.7500, 0.2171)  4 S 2.39-2.48
Mg (0.2650, 0.7500, 0.2829)  4 S 2.39-2.48
Mg (0.7350, 0.2500, 0.7171)  4 S 2.39-2.48
Mg (0.2350, 0.2500, 0.7829)  4 S 2.39-2.48
S (0.5858, 0.7500, 0.1226)  1 Mg 2.39
S (0.9536, 0.7500, 0.1332)  1 Mg 2.40
S (0.2619, 0.2500, 0.1873)  2 Mg 2.48
S (0.7619, 0.2500, 0.3127)  2 Mg 2.48
S (0.4536, 0.7500, 0.3668)  1 Mg 2.40
S (0.0858, 0.7500, 0.3775)  1 Mg 2.39
S (0.9142, 0.2500, 0.6226)  1 Mg 2.39
S (0.5464, 0.2500, 0.6332)  1 Mg 2.40
S (0.2381, 0.7500, 0.6873)  2 Mg 2.48
S (0.7381, 0.7500, 0.8127)  2 Mg 2.48
S (0.0464, 0.2500, 0.8668)  1 Mg 2.40
S (0.4142, 0.2500, 0.8775)  1 Mg 2.39
Sm (0.5136, 0.2500, 0.2412)  6 S 2.79-2.92
Sm (0.0136, 0.2500, 0.2588)  6 S 2.79-2.92
Sm (0.9864, 0.7500, 0.7412)  6 S 2.79-2.92
Sm (0.4864, 0.7500, 0.7588)  6 S 2.79-2.92

Properties
- space group = Pnma (62)

---

#x
Compound: KSmMgS3
Source: OQMD
Functional: PBE
Structure: relaxed

Unit cell a=8.2445 b=4.1652 c=10.2901 alpha=90.00 beta=107.12 gamma=90.00
With the nearest neighbours (Å) after each atom.
Element x y z (fractional)
K (0.2521, 0.2500, 0.2675)  4 S 3.21-3.32
K (0.7479, 0.7500, 0.7325)  4 S 3.21-3.32
Mg (0.9168, 0.7500, 0.3923)  4 S 2.40-2.50
Mg (0.0832, 0.2500, 0.6077)  4 S 2.40-2.50
S (0.4655, 0.7500, 0.1460)  3 Sm 2.73-2.82
S (0.9266, 0.7500, 0.1610)  1 Mg 2.40
S (0.7908, 0.2500, 0.4436)  3 Mg 2.45-2.50
S (0.2092, 0.7500, 0.5564)  3 Mg 2.45-2.50
S (0.0734, 0.2500, 0.8390)  1 Mg 2.40
S (0.5345, 0.2500, 0.8540)  3 Sm 2.73-2.82
Sm (0.6892, 0.2500, 0.1277)  5 S 2.73-2.82
Sm (0.3108, 0.7500, 0.8723)  5 S 2.73-2.82

Properties
- space group = P2_1/m (11)

---

Tell me which of them is the most stable. Sure, it is #w.

---

#w
Compound: K2Mo
Source: OQMD
Functional: PBE
Structure: relaxed

Unit cell a=8.0283 b=8.0283 c=9.5735 alpha=90.00 beta=90.00 gamma=120.00
With the nearest neighbours (Å) after each atom.
Element x y z (fractional)
K (0.0000, 0.0000, 0.0000)  6 K 3.56
K (0.1893, 0.3786, 0.2500)  4 K 3.47-3.56
K (0.1893, 0.8107, 0.2500)  4 K 3.47-3.56
K (0.6214, 0.8107, 0.2500)  4 K 3.47-3.56
K (0.0000, 0.0000, 0.5000)  6 K 3.56
K (0.3786, 0.1893, 0.7500)  4 K 3.47-3.56
K (0.8107, 0.1893, 0.7500)  4 K 3.47-3.56
K (0.8107, 0.6214, 0.7500)  4 K 3.47-3.56
Mo (0.6667, 0.3333, 0.1456)  1 Mo 2.00
Mo (0.6667, 0.3333, 0.3544)  1 Mo 2.00
Mo (0.3333, 0.6667, 0.6456)  1 Mo 2.00
Mo (0.3333, 0.6667, 0.8544)  1 Mo 2.00

Properties
- space group = P6_3/mmc (194)

---

#x
Compound: K2Mo
Source: OQMD
Functional: PBE
Structure: relaxed

Unit cell a=7.1655 b=7.1655 c=7.1655 alpha=60.00 beta=60.00 gamma=60.00
With the nearest neighbours (Å) after each atom.
Element x y z (fractional)
K (0.6250, 0.6250, 0.1250)  6 K 3.58
K (0.6250, 0.1250, 0.6250)  6 K 3.58
K (0.1250, 0.6250, 0.6250)  6 K 3.58
K (0.6250, 0.6250, 0.6250)  6 K 3.58
Mo (0.0000, 0.0000, 0.0000)  12 K 4.20, 4 Mo 4.39
Mo (0.2500, 0.2500, 0.2500)  12 K 4.20, 4 Mo 4.39

Properties
- space group = Fd-3m (227)

---

Tell me which of them is the most stable. Sure, it is #w.

---

#w
Compound: KNaMoPt
Source: OQMD
Functional: PBE
Structure: relaxed

Unit cell a=5.1143 b=5.1143 c=5.1143 alpha=60.00 beta=60.00 gamma=60.00
With the nearest neighbours (Å) after each atom.
Element x y z (fractional)
K (0.2500, 0.2500, 0.2500)  4 Mo 3.13, 4 Pt 3.13
Mo (0.0000, 0.0000, 0.0000)  4 K 3.13, 4 Na 3.13
Na (0.7500, 0.7500, 0.7500)  4 Pt 3.13, 4 Mo 3.13
Pt (0.5000, 0.5000, 0.5000)  4 Na 3.13, 4 K 3.13

Properties
- space group = F-43m (216)

---

#x
Compound: KNaMoPt
Source: OQMD
Functional: PBE
Structure: relaxed

Unit cell a=5.0266 b=5.0266 c=5.0266 alpha=60.00 beta=60.00 gamma=60.00
With the nearest neighbours (Å) after each atom.
Element x y z (fractional)
K (0.5000, 0.5000, 0.5000)  4 Na 3.08, 4 Pt 3.08
Mo (0.0000, 0.0000, 0.0000)  4 Na 3.08, 4 Pt 3.08
Na (0.7500, 0.7500, 0.7500)  4 K 3.08, 4 Mo 3.08
Pt (0.2500, 0.2500, 0.2500)  4 K 3.08, 4 Mo 3.08

Properties
- space group = F-43m (216)

---

Tell me which of them is the most stable. Sure, it is #x.

---

#w
Compound: KMoPb
Source: OQMD
Functional: PBE
Structure: relaxed

Unit cell a=5.1091 b=5.1091 c=5.1091 alpha=60.00 beta=60.00 gamma=60.00
With the nearest neighbours (Å) after each atom.
Element x y z (fractional)
K (0.2500, 0.2500, 0.2500)  4 Mo 3.13
Mo (0.0000, 0.0000, 0.0000)  4 K 3.13, 4 Pb 3.13
Pb (0.7500, 0.7500, 0.7500)  4 Mo 3.13

Properties
- space group = F-43m (216)

---

#x
Compound: KMoPb
Source: OQMD
Functional: PBE
Structure: relaxed

Unit cell a=5.2924 b=5.2924 c=5.2924 alpha=60.00 beta=60.00 gamma=60.00
With the nearest neighbours (Å) after each atom.
Element x y z (fractional)
K (0.0000, 0.0000, 0.0000)  4 Pb 3.24, 4 Mo 3.24
Mo (0.2500, 0.2500, 0.2500)  4 K 3.24
Pb (0.7500, 0.7500, 0.7500)  4 K 3.24

Properties
- space group = F-43m (216)

---

Tell me which of them is the most stable. Sure, it is #w.

---

#w
Compound: KTaMo
Source: OQMD
Functional: PBE
Structure: relaxed

Unit cell a=4.7266 b=4.7266 c=4.7266 alpha=60.00 beta=60.00 gamma=60.00
With the nearest neighbours (Å) after each atom.
Element x y z (fractional)
K (0.0000, 0.0000, 0.0000)  4 Ta 2.89, 4 Mo 2.89
Mo (0.2500, 0.2500, 0.2500)  4 K 2.89
Ta (0.7500, 0.7500, 0.7500)  4 K 2.89

Properties
- space group = F-43m (216)

---

#x
Compound: KTaMo
Source: OQMD
Functional: PBE
Structure: relaxed

Unit cell a=4.6588 b=4.6588 c=4.6588 alpha=60.00 beta=60.00 gamma=60.00
With the nearest neighbours (Å) after each atom.
Element x y z (fractional)
K (0.2500, 0.2500, 0.2500)  4 Mo 2.85
Mo (0.0000, 0.0000, 0.0000)  4 Ta 2.85, 4 K 2.85
Ta (0.7500, 0.7500, 0.7500)  4 Mo 2.85

Properties
- space group = F-43m (216)

---

Tell me which of them is the most stable. Sure, it is #x.

---

#w
Compound: KNbNO
Source: OQMD
Functional: PBE
Structure: relaxed

Unit cell a=4.0049 b=4.0049 c=10.4726 alpha=90.00 beta=90.00 gamma=90.00
With the nearest neighbours (Å) after each atom.
Element x y z (fractional)
K (0.0000, 0.5000, 0.1494)  4 O 2.54
K (0.5000, 0.0000, 0.8506)  4 O 2.54
N (0.5000, 0.0000, 0.4405)  4 Nb 2.10
N (0.0000, 0.5000, 0.5595)  4 Nb 2.10
Nb (0.0000, 0.0000, 0.5000)  4 N 2.10
Nb (0.5000, 0.5000, 0.5000)  4 N 2.10
O (0.0000, 0.0000, 0.0000)  4 K 2.54, 4 O 2.83
O (0.5000, 0.5000, 0.0000)  4 K 2.54, 4 O 2.83

Properties
- space group = P4/nmm (129)

---

#x
Compound: KNbNO
Source: OQMD
Functional: PBE
Structure: relaxed

Unit cell a=3.4508 b=5.9365 c=7.0834 alpha=90.00 beta=90.00 gamma=90.00
With the nearest neighbours (Å) after each atom.
Element x y z (fractional)
K (0.0000, 0.4877, 0.3607)  2 O 2.57, 2 N 2.77-2.83
K (0.0000, 0.9877, 0.6393)  2 O 2.57, 2 N 2.77-2.83
N (0.0000, 0.9448, 0.2495)  2 Nb 1.98
N (0.0000, 0.4448, 0.7505)  2 Nb 1.98
Nb (0.5000, 0.9894, 0.1186)  2 O 1.96-2.04, 2 N 1.98
Nb (0.5000, 0.4894, 0.8814)  2 O 1.96-2.04, 2 N 1.98
O (0.5000, 0.3322, 0.1249)  2 Nb 1.96-2.04
O (0.5000, 0.8322, 0.8751)  2 Nb 1.96-2.04

Properties
- space group = Pmc2_1 (26)

---

#y
Compound: KNbNO
Source: OQMD
Functional: PBE
Structure: relaxed

Unit cell a=3.4274 b=3.4274 c=8.6090 alpha=90.00 beta=90.00 gamma=90.00
With the nearest neighbours (Å) after each atom.
Element x y z (fractional)
K (0.0000, 0.0000, 0.5000)  4 K 2.42, 4 N 2.71
K (0.5000, 0.5000, 0.5000)  4 K 2.42, 4 N 2.71
N (0.5000, 0.0000, 0.2567)  4 Nb 2.60, 4 K 2.71, 4 O 2.80
N (0.0000, 0.5000, 0.7433)  4 Nb 2.60, 4 K 2.71, 4 O 2.80
Nb (0.0000, 0.5000, 0.1468)  4 O 2.13
Nb (0.5000, 0.0000, 0.8532)  4 O 2.13
O (0.0000, 0.0000, 0.0000)  4 Nb 2.13
O (0.5000, 0.5000, 0.0000)  4 Nb 2.13

Properties
- space group = P4/nmm (129)

---

#z
Compound: KNbNO
Source: OQMD
Functional: PBE
Structure: relaxed

Unit cell a=3.6580 b=6.0550 c=6.8046 alpha=90.00 beta=90.00 gamma=90.00
With the nearest neighbours (Å) after each atom.
Element x y z (fractional)
K (0.5000, 0.9910, 0.1622)  2 O 2.69-2.87, 2 N 2.75
K (0.5000, 0.4910, 0.8378)  2 O 2.69-2.87, 2 N 2.75
N (0.0000, 0.8094, 0.4172)  2 Nb 1.91-1.95
N (0.0000, 0.3094, 0.5828)  2 Nb 1.91-1.95
Nb (0.0000, 0.4946, 0.3564)  2 N 1.91-1.95, 2 O 2.02
Nb (0.0000, 0.9946, 0.6436)  2 N 1.91-1.95, 2 O 2.02
O (0.5000, 0.4589, 0.2327)  2 Nb 2.02
O (0.5000, 0.9589, 0.7673)  2 Nb 2.02

Properties
- space group = Pmc2_1 (26)

---

Tell me which of them is the most stable. Sure, it is #z.

---

#w
Compound: KOsNO
Source: OQMD
Functional: PBE
Structure: relaxed

Unit cell a=4.2913 b=4.2914 c=7.7211 alpha=90.00 beta=90.00 gamma=90.00
With the nearest neighbours (Å) after each atom.
Element x y z (fractional)
K (0.7500, 0.2500, 0.5000)  4 N 2.62
K (0.2500, 0.7500, 0.5000)  4 N 2.62
N (0.7500, 0.7500, 0.3051)  1 Os 1.75
N (0.2500, 0.2500, 0.6949)  1 Os 1.75
O (0.7500, 0.2500, 0.0000)  4 Os 2.23
O (0.2500, 0.7500, 0.0000)  4 Os 2.23
Os (0.7500, 0.7500, 0.0781)  1 N 1.75
Os (0.2500, 0.2500, 0.9219)  1 N 1.75

Properties
- space group = P4/nmm (129)

---

#x
Compound: KOsNO
Source: OQMD
Functional: PBE
Structure: relaxed

Unit cell a=3.7467 b=6.2548 c=6.0443 alpha=90.00 beta=90.00 gamma=90.00
With the nearest neighbours (Å) after each atom.
Element x y z (fractional)
K (0.5000, 0.0121, 0.1745)  2 O 2.62-2.86, 2 N 2.83
K (0.5000, 0.5121, 0.8255)  2 O 2.62-2.86, 2 N 2.83
N (0.0000, 0.7815, 0.4318)  2 Os 1.82-1.85
N (0.0000, 0.2815, 0.5682)  2 Os 1.82-1.85
O (0.5000, 0.4620, 0.2565)  2 Os 1.99
O (0.5000, 0.9620, 0.7435)  2 Os 1.99
Os (0.0000, 0.4984, 0.3611)  2 N 1.82-1.85, 2 O 1.99
Os (0.0000, 0.9984, 0.6389)  2 N 1.82-1.85, 2 O 1.99

Properties
- space group = Pmc2_1 (26)

---

Tell me which of them is the most stable. Sure, it is #x.

---

#w
Compound: KOsNO
Source: OQMD
Functional: PBE
Structure: relaxed

Unit cell a=3.2782 b=6.1759 c=6.2910 alpha=90.00 beta=90.00 gamma=90.00
With the nearest neighbours (Å) after each atom.
Element x y z (fractional)
K (0.0000, 0.5419, 0.3956)  2 O 2.61, 2 N 2.61-2.69
K (0.0000, 0.0419, 0.6044)  2 O 2.61, 2 N 2.61-2.69
N (0.0000, 0.9122, 0.1955)  2 Os 1.88
N (0.0000, 0.4122, 0.8045)  2 Os 1.88
O (0.5000, 0.3002, 0.1771)  2 Os 1.96-2.01
O (0.5000, 0.8002, 0.8229)  2 Os 1.96-2.01
Os (0.5000, 0.9997, 0.0757)  2 N 1.88, 2 O 1.96-2.01
Os (0.5000, 0.4997, 0.9243)  2 N 1.88, 2 O 1.96-2.01

Properties
- space group = Pmc2_1 (26)

---

#x
Compound: KOsNO
Source: OQMD
Functional: PBE
Structure: relaxed

Unit cell a=3.6445 b=3.6445 c=10.1591 alpha=90.00 beta=90.00 gamma=90.00
With the nearest neighbours (Å) after each atom.
Element x y z (fractional)
K (0.2500, 0.2500, 0.1802)  4 O 2.58
K (0.7500, 0.7500, 0.8198)  4 O 2.58
N (0.7500, 0.7500, 0.3971)  4 Os 2.10
N (0.2500, 0.2500, 0.6029)  4 Os 2.10
O (0.7500, 0.2500, 0.0000)  4 O 2.58, 4 K 2.58
O (0.2500, 0.7500, 0.0000)  4 O 2.58, 4 K 2.58
Os (0.7500, 0.2500, 0.5000)  4 N 2.10
Os (0.2500, 0.7500, 0.5000)  4 N 2.10

Properties
- space group = P4/nmm (129)

---

#y
Compound: KOsNO
Source: OQMD
Functional: PBE
Structure: relaxed

Unit cell a=6.3119 b=8.0589 c=6.2509 alpha=90.00 beta=90.00 gamma=90.00
With the nearest neighbours (Å) after each atom.
Element x y z (fractional)
K (0.0124, 0.1792, 0.0511)  2 N 2.77-3.02, 2 O 2.99-3.07
K (0.5124, 0.8208, 0.0511)  2 N 2.77-3.02, 2 O 2.99-3.07
K (0.4876, 0.1792, 0.5511)  2 N 2.77-3.02, 2 O 2.99-3.07
K (0.9876, 0.8208, 0.5511)  2 N 2.77-3.02, 2 O 2.99-3.07
N (0.5185, 0.1637, 0.0330)  1 Os 1.71
N (0.0185, 0.8363, 0.0330)  1 Os 1.71
N (0.9815, 0.1637, 0.5330)  1 Os 1.71
N (0.4815, 0.8363, 0.5330)  1 Os 1.71
O (0.2600, 0.4950, 0.0640)  2 Os 1.87-1.88
O (0.7600, 0.5050, 0.0640)  2 Os 1.87-1.88
O (0.2400, 0.4950, 0.5640)  2 Os 1.87-1.88
O (0.7400, 0.5050, 0.5640)  2 Os 1.87-1.88
Os (0.5139, 0.3749, 0.0543)  1 N 1.71, 2 O 1.87-1.88
Os (0.0139, 0.6251, 0.0543)  1 N 1.71, 2 O 1.87-1.88
Os (0.9861, 0.3749, 0.5543)  1 N 1.71, 2 O 1.87-1.88
Os (0.4861, 0.6251, 0.5543)  1 N 1.71, 2 O 1.87-1.88

Properties
- space group = Pca2_1 (29)

---

Tell me which of them is the most stable. Sure, it is #w.

---

#w
Compound: KPdNO
Source: OQMD
Functional: PBE
Structure: relaxed

Unit cell a=4.4372 b=4.4372 c=6.9671 alpha=90.00 beta=90.00 gamma=90.00
With the nearest neighbours (Å) after each atom.
Element x y z (fractional)
K (0.7500, 0.2500, 0.5000)  4 N 2.57
K (0.2500, 0.7500, 0.5000)  4 N 2.57
N (0.7500, 0.7500, 0.3131)  1 Pd 1.82
N (0.2500, 0.2500, 0.6869)  1 Pd 1.82
O (0.7500, 0.2500, 0.0000)  4 Pd 2.25
O (0.2500, 0.7500, 0.0000)  4 Pd 2.25
Pd (0.7500, 0.7500, 0.0524)  1 N 1.82
Pd (0.2500, 0.2500, 0.9476)  1 N 1.82

Properties
- space group = P4/nmm (129)

---

#x
Compound: KPdNO
Source: OQMD
Functional: PBE
Structure: relaxed

Unit cell a=3.5185 b=6.1489 c=6.3325 alpha=90.00 beta=90.00 gamma=90.00
With the nearest neighbours (Å) after each atom.
Element x y z (fractional)
K (0.0000, 0.5032, 0.2263)  4 O 2.72-2.76, 1 N 2.82
K (0.0000, 0.0032, 0.7737)  4 O 2.72-2.76, 1 N 2.82
N (0.0000, 0.9974, 0.3282)  2 Pd 1.89
N (0.0000, 0.4974, 0.6718)  2 Pd 1.89
O (0.5000, 0.2534, 0.0051)  2 Pd 2.07-2.08
O (0.5000, 0.7534, 0.9949)  2 Pd 2.07-2.08
Pd (0.5000, 0.0000, 0.2203)  2 N 1.89, 2 O 2.07-2.08
Pd (0.5000, 0.5001, 0.7797)  2 N 1.89, 2 O 2.07-2.08

Properties
- space group = Pmc2_1 (26)

---

Tell me which of them is the most stable. Sure, it is #x.